No. 1
Here is a relaxed structure of FePdRh from Alexandria via LeMat-Bulk. Energies are from PBE.

Computed properties:
* E above lowest polymorph: 0 meV per atom
* total DFT energy (no corrections): -7.05 eV per atom
* SG: P4/nmm (129)
* volume: 83.87 Å³ per cell

```
FePdRh
1.0
-0.631 1.762 -1.992
-0.624 -2.088 -1.649
-10.618 0.307 3.632
Rh Pd Fe
2 2 2
Cartesian
-4.713 1.008 0.508
-6.532 -0.864 1.303
-1.307 0.910 -0.657
-9.938 -0.766 2.468
-8.212 1.109 1.705
-3.034 -0.965 0.106
```

No. 2
Here is a relaxed structure of Fe4Pd5Rh4 from Alexandria via LeMat-Bulk. Energies are from PBE.

Computed properties:
* total DFT energy (no corrections): -6.88 eV per atom
* SG: I4/m (87)
* volume: 184.90 Å³ per cell

```
Fe4Pd5Rh4
1.0
-3.429 0.761 -1.682
-4.890 -3.524 3.866
-2.481 5.896 3.217
Fe Pd Rh
4 5 4
Cartesian
-6.098 3.375 4.941
-8.333 -0.328 3.315
-2.467 3.461 2.086
-4.702 -0.241 0.459
-8.445 1.973 4.583
-4.857 4.540 2.938
0.000 0.000 0.000
-5.943 -1.406 2.463
-2.355 1.161 0.818
-3.638 -0.045 2.888
-4.740 2.163 1.626
-7.162 3.178 2.513
-6.059 0.970 3.775
```

No. 3
Here is a relaxed structure of FePdRh4 from Alexandria via LeMat-Bulk. Energies are from PBE.

Computed properties:
* total DFT energy (no corrections): -7.14 eV per atom
* SG: P4/mmm (123)
* volume: 84.20 Å³ per cell

```
FePdRh4
1.0
2.721 0.000 0.000
0.000 2.721 0.000
0.000 0.000 11.375
Rh Pd Fe
4 1 1
Cartesian
1.360 1.360 1.778
1.360 1.360 9.596
0.000 0.000 3.685
0.000 0.000 7.690
1.360 1.360 5.687
0.000 0.000 0.000
```

no.,E_form (meV/atom),total moment (μB/cell)
1,-49,6.5
2,-21,16.5
3,33,1.4